Material: TiTl2SnO4
Method: DFT, PBE-GGA
State: relaxed

abc: 5.425 7.837 7.788
angles: 90.00 90.00 90.00
Sites, in units of the cell vectors:
Ti1 0.505 0.915 0.500
Ti2 0.005 0.085 0.000
Tl1 0.486 0.320 0.222
Tl2 0.486 0.320 0.778
Tl3 0.986 0.680 0.722
Tl4 0.986 0.680 0.278
Sn1 0.974 0.198 0.500
Sn2 0.474 0.802 0.000
O1 0.350 0.059 0.000
O2 0.850 0.941 0.500
O3 0.358 0.134 0.500
O4 0.858 0.866 0.000
O5 0.420 0.801 0.693
O6 0.920 0.199 0.193
O7 0.920 0.199 0.807
O8 0.420 0.801 0.307

As for the total energy: -99.936 eV for the cell shown. The density of states at the Fermi level comes out at 0.0 states/eV per cell. For the raw formation energy, the calculation gives -1688 meV per atom.